(1)
DFT (PBE-GGA) results for Na2TiCrS4 after structural relaxation.

abc: 3.5719 6.1311 6.9544
angles: 107.40 90.00 90.00
Closest atoms and distances in Å follow each position.
Element x y z (fractional)
Na (0.5000, 0.0000, 0.5000)  6 S 2.81-2.82
Na (0.0000, 0.5000, 0.5000)  6 S 2.85-2.86
Ti (0.5000, 0.5000, 0.0000)  6 S 2.49
Cr (0.0000, 0.0000, 0.0000)  6 S 2.44-2.45
S (0.5000, 0.2276, 0.2032)  2 Cr 2.44, 1 Ti 2.49
S (0.5000, 0.7724, 0.7968)  2 Cr 2.44, 1 Ti 2.49
S (0.0000, 0.2583, 0.7915)  1 Cr 2.45, 2 Ti 2.49
S (0.0000, 0.7417, 0.2085)  1 Cr 2.45, 2 Ti 2.49

The density of states at the Fermi level comes out at 3.3 states/eV/f.u. The total magnetization comes out at 2.02 μB/f.u. As for the uncorrected formation energy: -1.13 eV per atom. For the total energy, the calculation gives -0.210 Ha/atom. Its calculated volume is 18.166 A^3/atom.

***

(2)
DFT (PBE-GGA) results for Y2CdRuN after structural relaxation.

abc: 4.9823 4.9823 3.9059
angles: 90.00 90.00 90.00
Closest atoms and distances in Å follow each position.
Element x y z (fractional)
Y (0.0000, 0.5000, 0.0000)  2 N 2.49
Y (0.5000, 0.0000, 0.0000)  2 N 2.49
Ru (0.0000, 0.0000, 0.5000)  2 N 1.95
N (0.0000, 0.0000, 0.0000)  2 Ru 1.95
Cd (0.5000, 0.5000, 0.5000)  8 Y 3.17, 4 Ru 3.52

As for the polymorph energy (0 for the lowest one): 0.0 kJ per mole of atoms. The density of states at the Fermi level comes out at 4.2 states/eV/f.u. The total magnetization comes out at 0.00 μB/f.u. As for the uncorrected formation energy: -0.67 eV per atom. For the total energy, the calculation gives -0.256 Ha/atom. Its calculated volume is 19.392 A^3/atom.

***

(3)
DFT (PBE-GGA) results for K2CaGeCl6 after structural relaxation.

abc: 7.4699 7.4699 7.5124
angles: 60.18 60.18 60.00
Closest atoms and distances in Å follow each position.
Element x y z (fractional)
K (0.5435, 0.5435, 0.3695)  6 Cl 3.16-3.35
K (0.0447, 0.0447, 0.8659)  6 Cl 3.15-3.37
Ca (0.8176, 0.8176, 0.5471)  6 Cl 2.73-2.77
Ge (0.3181, 0.3181, 0.0458)  6 Cl 2.68-2.71
Cl (0.5777, 0.1550, 0.2789)  1 Ge 2.68, 1 Ca 2.77
Cl (0.1549, 0.9884, 0.2790)  1 Ge 2.68, 1 Ca 2.76
Cl (0.9884, 0.5777, 0.2790)  1 Ge 2.68, 1 Ca 2.77
Cl (0.4830, 0.6499, 0.7833)  1 Ge 2.71, 1 Ca 2.73
Cl (0.6499, 0.0837, 0.7833)  1 Ge 2.71, 1 Ca 2.73
Cl (0.0838, 0.4829, 0.7834)  1 Ge 2.71, 1 Ca 2.73

The density of states at the Fermi level comes out at 0.0 states/eV/f.u. The total magnetization comes out at 0.00 μB/f.u. As for the uncorrected formation energy: -1.74 eV per atom. For the total energy, the calculation gives -0.137 Ha/atom. Its calculated volume is 29.720 A^3/atom.

***

(4)
DFT (PBE-GGA) results for SmTm12Sc6 after structural relaxation.

abc: 8.9381 8.9381 8.9381
angles: 107.34 107.34 107.34
Closest atoms and distances in Å follow each position.
Element x y z (fractional)
Sm (0.0000, 0.0000, 0.0000)  6 Tm 3.48
Tm (0.8875, 0.1125, 0.5000)  4 Sc 3.16-3.28, 3 Tm 3.24-3.46
Tm (0.3727, 0.1462, 0.3727)  1 Sc 2.96, 2 Tm 3.26
Tm (0.3727, 0.3727, 0.1462)  1 Sc 2.96, 2 Tm 3.26
Tm (0.8538, 0.6273, 0.6273)  1 Sc 2.96, 2 Tm 3.26
Tm (0.6273, 0.6273, 0.8538)  1 Sc 2.96, 2 Tm 3.26
Tm (0.6273, 0.8538, 0.6273)  1 Sc 2.96, 2 Tm 3.26
Tm (0.5000, 0.8875, 0.1125)  4 Sc 3.16-3.28, 3 Tm 3.24-3.46
Tm (0.1125, 0.5000, 0.8875)  4 Sc 3.16-3.28, 3 Tm 3.24-3.46
Tm (0.1125, 0.8875, 0.5000)  4 Sc 3.16-3.28, 3 Tm 3.24-3.46
Tm (0.5000, 0.1125, 0.8875)  4 Sc 3.16-3.28, 3 Tm 3.24-3.46
Tm (0.8875, 0.5000, 0.1125)  4 Sc 3.16-3.28, 3 Tm 3.24-3.46
Tm (0.1462, 0.3727, 0.3727)  1 Sc 2.96, 2 Tm 3.26
Sc (0.6913, 0.2771, 0.6913)  5 Tm 2.96-3.28
Sc (0.6913, 0.6913, 0.2771)  5 Tm 2.96-3.28
Sc (0.2771, 0.6913, 0.6913)  5 Tm 2.96-3.28
Sc (0.3087, 0.3087, 0.7229)  5 Tm 2.96-3.28
Sc (0.3087, 0.7229, 0.3087)  5 Tm 2.96-3.28
Sc (0.7229, 0.3087, 0.3087)  5 Tm 2.96-3.28

As for the polymorph energy (0 for the lowest one): 2.9 kJ per mole of atoms. The density of states at the Fermi level comes out at 26.8 states/eV/f.u. The total magnetization comes out at 0.00 μB/f.u. As for the formation energy: 431 meV/atom. For the total energy, the calculation gives -0.171 Ha/atom. Its calculated volume is 31.001 A^3/atom.

***

(5)
DFT (PBE-GGA) results for Mg2In4Hg5 after structural relaxation.

abc: 4.7363 4.7363 16.8405
angles: 81.92 81.92 60.00
Closest atoms and distances in Å follow each position.
Element x y z (fractional)
Mg (0.1441, 0.1441, 0.5678)  6 Hg 2.96
Mg (0.8559, 0.8559, 0.4322)  6 Hg 2.96
In (0.6858, 0.6858, 0.9426)  4 Hg 2.98-3.09, 3 In 3.33
In (0.5668, 0.5668, 0.2996)  4 Hg 2.84-2.93
In (0.4332, 0.4332, 0.7004)  4 Hg 2.84-2.93
In (0.3142, 0.3142, 0.0574)  4 Hg 2.98-3.09, 3 In 3.33
Hg (0.7878, 0.7878, 0.6367)  3 In 2.93, 3 Mg 2.96
Hg (0.6238, 0.6238, 0.1287)  5 In 2.84-3.09
Hg (0.5000, 0.5000, 0.5000)  6 Mg 2.96
Hg (0.3762, 0.3762, 0.8713)  5 In 2.84-3.09
Hg (0.2122, 0.2122, 0.3633)  3 In 2.93, 3 Mg 2.96

As for the polymorph energy (0 for the lowest one): 5.3 kJ per mole of atoms. The density of states at the Fermi level comes out at 5.0 states/eV/f.u. The total magnetization comes out at 0.00 μB/f.u. As for the formation energy: 9 meV/atom. For the total energy, the calculation gives -0.052 Ha/atom. Its calculated volume is 29.347 A^3/atom.

***

(6)
DFT (PBE-GGA) results for ReTe2Au after structural relaxation.

abc: 3.0884 3.0884 10.5007
angles: 90.00 90.00 114.67
Closest atoms and distances in Å follow each position.
Element x y z (fractional)
Au (0.0000, 0.0000, 0.5309)  2 Re 2.78, 2 Te 3.07, 4 Au 3.09
Re (0.5000, 0.5000, 0.7426)  2 Te 2.66, 2 Au 2.78
Te (0.0000, 0.0000, 0.9405)  2 Re 2.66
Te (0.5000, 0.5000, 0.2859)  2 Au 3.07, 6 Te 3.09-3.33

As for the polymorph energy (0 for the lowest one): 36.9 kJ per mole of atoms. The density of states at the Fermi level comes out at 2.7 states/eV/f.u. The total magnetization comes out at 0.00 μB/f.u. As for the uncorrected formation energy: 0.65 eV per atom. For the total energy, the calculation gives -0.178 Ha/atom. Its calculated volume is 22.755 A^3/atom.

***

(7)
DFT (PBE-GGA) results for KTcP2Cl after structural relaxation.

abc: 5.1421 5.1421 5.1029
angles: 90.00 90.00 90.00
Closest atoms and distances in Å follow each position.
Element x y z (fractional)
P (0.0000, 0.5000, 0.0000)  2 K 2.57
P (0.5000, 0.0000, 0.0000)  2 K 2.57
K (0.0000, 0.0000, 0.0000)  2 Cl 2.55, 4 P 2.57
Tc (0.5000, 0.5000, 0.5000)  8 P 3.62, 4 Cl 3.64
Cl (0.0000, 0.0000, 0.5000)  2 K 2.55

As for the polymorph energy (0 for the lowest one): 240.2 kJ per mole of atoms. The density of states at the Fermi level comes out at 9.9 states/eV/f.u. The total magnetization comes out at 0.44 μB/f.u. As for the uncorrected formation energy: 2.19 eV per atom. For the total energy, the calculation gives -0.097 Ha/atom. Its calculated volume is 26.985 A^3/atom.

***

(8)
DFT (PBE-GGA) results for Zr2CuGe after structural relaxation.

abc: 7.3460 7.3460 5.9423
angles: 51.82 51.82 90.00
Closest atoms and distances in Å follow each position.
Element x y z (fractional)
Ge (0.0000, 0.0000, 0.0000)  4 Zr 2.73, 2 Cu 2.89
Ge (0.7500, 0.2500, 0.5000)  4 Zr 2.73, 2 Cu 2.89
Cu (0.5000, 0.5000, 0.0000)  4 Zr 2.66, 2 Ge 2.89
Cu (0.2500, 0.7500, 0.5000)  4 Zr 2.66, 2 Ge 2.89
Zr (0.6181, 0.1250, 0.2500)  2 Cu 2.66, 2 Ge 2.73, 2 Zr 2.89
Zr (0.1319, 0.6250, 0.2500)  2 Cu 2.66, 2 Ge 2.73, 2 Zr 2.89
Zr (0.3750, 0.3819, 0.7500)  2 Cu 2.66, 2 Ge 2.73, 2 Zr 2.89
Zr (0.8750, 0.8681, 0.7500)  2 Cu 2.66, 2 Ge 2.73, 2 Zr 2.89

The density of states at the Fermi level comes out at 3.3 states/eV/f.u. The total magnetization comes out at 0.00 μB/f.u. As for the formation energy: -98 meV/atom. For the total energy, the calculation gives -0.241 Ha/atom. Its calculated volume is 19.467 A^3/atom.